<a>
{
  "formula": "GeHOs3",
  "functional": "GGA-PBE",
  "state": "optimized geometry",
  "crystal_system": "cubic",
  "space_group": "Pm-3m (221)",
  "lattice": [[4.549, 0.000, 0.000], [0.000, 4.549, 0.000], [0.000, 0.000, 4.549]],
  "species": ["Ge", "H", "Os", "Os", "Os"],
  "fractional_positions": [[0.000, 0.000, 0.000], [0.500, 0.500, 0.500], [0.000, 0.000, 0.500], [0.000, 0.500, 0.000], [0.500, 0.000, 0.000]]
}



<b>
{
  "formula": "GeHOs3",
  "functional": "GGA-PBE",
  "state": "optimized geometry",
  "crystal_system": "cubic",
  "space_group": "Pm-3m (221)",
  "lattice": [[3.942, 0.000, 0.000], [0.000, 3.942, 0.000], [0.000, 0.000, 3.942]],
  "species": ["Ge", "H", "Os", "Os", "Os"],
  "fractional_positions": [[0.000, 0.000, 0.000], [0.500, 0.500, 0.500], [0.000, 0.500, 0.500], [0.500, 0.000, 0.500], [0.500, 0.500, 0.000]]
}



Relative energies with respect to the most stable structure, expressed in meV/atom: <a> 1991; <b> 0.